## DyUCrO6 (GGA+U)

Data for a relaxed DyUCrO6 crystal.

Calculated values
Total DFT energy (no corrections) (eV/atom): -8.84

a = 5.3730 Å, b = 5.3730 Å, c = 9.7708 Å
α = 90.00°, β = 90.00°, γ = 120.00°
Closest atoms and distances in Å follow each position.
Space group P-31c (No. 163)
Asymmetric unit:
Dy 0.0000 0.0000 0.0000 [2 per cell]  6 O 2.31
U 0.3333 0.6667 0.2500 [2 per cell]  6 O 2.09
Cr 0.3333 0.6667 0.7500 [2 per cell]  6 O 2.03
O 0.0090 0.3547 0.6379 [12 per cell]  1 Cr 2.03, 1 U 2.09